Compound: V3Mo2W3
Source: Alexandria via LeMat-Bulk
Functional: GGA-PBE
Structure: optimized geometry

The structure in POSCAR format:
```
V3Mo2W3
1.0
-1.555 2.201 8.757
1.555 -2.201 8.757
1.555 2.201 -8.757
V Mo W
3 2 3
direct
0.000 0.000 0.000
0.377 0.877 0.500
0.623 0.123 0.500
0.250 0.250 0.000
0.750 0.750 0.000
0.124 0.624 0.500
0.500 0.500 0.000
0.876 0.376 0.500
```

Calculated values
Density ... 12.4 g/cm³
VASP energy ... -88.661 eV per cell
Offset from the most stable computed form ... 0.000 eV/atom
E_form ... -97.9 meV/atom